DFT (PBE) results for a geometry-optimized Ce5Si2Ir5 structure.

```
Ce5Si2Ir5
1.0
-0.5768 -0.0647 -3.9033
0.5778 -6.5857 2.0186
-10.0194 1.7522 1.4516
Ce Si Ir
5 2 5
direct
0.5000 0.0000 0.5000
0.6460 0.2919 0.0632
0.7598 0.5195 0.3625
0.2402 0.4805 0.6375
0.3540 0.7081 0.9368
0.0621 0.1242 0.7921
0.9379 0.8758 0.2079
0.1037 0.2073 0.3758
0.6796 0.3592 0.8056
0.3204 0.6408 0.1944
0.8963 0.7927 0.6242
0.0000 0.0000 0.0000
```

Calculated values
N(E_F) (states/eV per atom): 1.36
Energy relative to the elements, uncorrected (eV/atom): -0.6422
Total magnetic moment (μB/f.u.): 0.34
SG: C2/m, No. 12